Compound: LiNdRe
Source: OQMD via LeMat-Bulk
Functional: PBE
Structure: relaxed

Properties
VASP energy in Ry per atom: -0.3923
Density in g/cm³: 9.051
Offset from the most stable computed form in meV/atom: 0.0

Cell: 6.2794 6.2794 6.2794 Å, 90.00 90.00 90.00°
Last column: nearest neighbours and their distance in Å.
Space group F-43m (No. 216)
Inequivalent atoms, fractional coordinates:
Li 0.0000 0.0000 0.0000  4 Re 2.72, 4 Nd 2.72
Nd 0.2500 0.2500 0.7500  4 Li 2.72
Re 0.2500 0.2500 0.2500  4 Li 2.72